# 1
DFT (GGA-PBE) results for a geometry-optimized Na4Sc3AsO8 structure.

Cell: 6.608 6.608 6.608 Å, 57.92 57.92 57.92°
Element x y z (fractional)
Na: 0.000 0.000 0.000
Na: 0.000 0.500 0.500
Na: 0.500 0.000 0.500
Na: 0.500 0.500 0.000
Sc: 0.000 0.000 0.500
Sc: 0.000 0.500 0.000
Sc: 0.500 0.000 0.000
As: 0.500 0.500 0.500
O: 0.229 0.738 0.738
O: 0.234 0.234 0.234
O: 0.262 0.262 0.771
O: 0.262 0.771 0.262
O: 0.738 0.229 0.738
O: 0.738 0.738 0.229
O: 0.766 0.766 0.766
O: 0.771 0.262 0.262

Results
Its crystal system is trigonal. The formation energy (no corrections) comes out at -2.430 eV per atom. Its space group is No. 166. The density comes out at 3.7 g/cm³.

# 2
DFT (GGA-PBE) results for a geometry-optimized Ag3GePd structure.

Cell: 4.801 4.801 4.801 Å, 90.00 90.00 90.00°
Element x y z (fractional)
Ag: 0.000 0.000 0.500
Ag: 0.000 0.500 0.000
Ag: 0.500 0.000 0.000
Ge: 0.000 0.000 0.000
Pd: 0.500 0.500 0.500

Results
Its crystal system is cubic. The formation energy is 2.99 eV per formula unit. Its space group is No. 221. For the energy relative to the lowest polymorph listed for this composition, the calculation gives 0.000 eV per atom. The density comes out at 7.5 g/cm³.

# 3
DFT (GGA-PBE) results for a geometry-optimized CaCrIn2 structure.

Cell: 3.538 3.550 7.511 Å, 90.00 90.00 90.00°
Element x y z (fractional)
Ca: 0.000 0.000 0.000
Cr: 0.000 0.000 0.500
In: 0.500 0.500 0.291
In: 0.500 0.500 0.709

Results
Its crystal system is orthorhombic. The formation energy is -0.11 eV per formula unit. Its space group is No. 47. The density comes out at 5.7 g/cm³.

# 4
DFT (GGA-PBE) results for a geometry-optimized GeBiW2 structure.

Cell: 9.864 9.864 9.864 Å, 155.21 155.21 35.34°
Element x y z (fractional)
Ge: 0.000 0.000 0.000
Ge: 0.750 0.250 0.500
Bi: 0.250 0.750 0.500
Bi: 0.500 0.500 0.000
W: 0.048 0.625 0.923
W: 0.375 0.298 0.423
W: 0.702 0.125 0.077
W: 0.875 0.952 0.577

Results
Its crystal system is tetragonal. The formation energy is 3.78 eV per formula unit. Its space group is No. 122. For the energy relative to the lowest polymorph listed for this composition, the calculation gives 0.030 eV per atom. The density comes out at 12.8 g/cm³.

# 5
DFT (GGA-PBE) results for a geometry-optimized LiReNO2 structure.

Cell: 3.374 3.374 3.660 Å, 90.00 90.00 90.00°
Element x y z (fractional)
Li: 0.000 0.000 0.000
Re: 0.500 0.500 0.500
N: 0.000 0.000 0.500
O: 0.000 0.500 0.000
O: 0.500 0.000 0.000

Results
Its crystal system is tetragonal. The formation energy (no corrections) comes out at 0.745 eV per atom. Its space group is No. 123. The density comes out at 9.5 g/cm³.

# 6
DFT (GGA-PBE) results for a geometry-optimized LiTl2W structure.

Cell: 9.765 9.765 9.765 Å, 18.31 18.31 18.31°
Element x y z (fractional)
Li: 0.000 0.000 0.000
Tl: 0.252 0.252 0.252
Tl: 0.748 0.748 0.748
W: 0.500 0.500 0.500

Results
Its crystal system is trigonal. The formation energy is 1.93 eV per formula unit. Its space group is No. 166. For the energy relative to the lowest polymorph listed for this composition, the calculation gives 0.000 eV per atom. The density comes out at 12.4 g/cm³.

# 7
DFT (GGA-PBE) results for a geometry-optimized BeIn2PdC structure.

Cell: 5.142 5.142 4.260 Å, 90.00 90.00 90.00°
Element x y z (fractional)
Be: 0.000 0.000 0.000
In: 0.000 0.500 0.500
In: 0.500 0.000 0.500
Pd: 0.000 0.000 0.500
C: 0.500 0.500 0.000

Results
Its crystal system is tetragonal. The formation energy is 6.50 eV per formula unit. Its space group is No. 123. The density comes out at 5.3 g/cm³.

# 8
DFT (GGA-PBE) results for a geometry-optimized ErHf2Zr6 structure.

Cell: 8.657 8.657 6.075 Å, 99.57 99.57 100.96°
Element x y z (fractional)
Er: 0.097 0.903 0.750
Er: 0.903 0.097 0.250
Hf: 0.344 0.371 0.635
Hf: 0.371 0.344 0.135
Hf: 0.629 0.656 0.865
Hf: 0.656 0.629 0.365
Zr: 0.040 0.259 0.823
Zr: 0.079 0.456 0.305
Zr: 0.259 0.040 0.323
Zr: 0.267 0.638 0.978
Zr: 0.362 0.733 0.522
Zr: 0.456 0.079 0.805
Zr: 0.544 0.921 0.195
Zr: 0.638 0.267 0.478
Zr: 0.733 0.362 0.022
Zr: 0.741 0.960 0.677
Zr: 0.921 0.544 0.695
Zr: 0.960 0.741 0.177

Results
Its crystal system is monoclinic. The formation energy is 0.86 eV per formula unit. Its space group is No. 15. The density comes out at 8.2 g/cm³.

# 9
DFT (GGA-PBE) results for a geometry-optimized LiMgCd structure.

Cell: 5.706 5.706 5.706 Å, 145.66 145.66 49.35°
Element x y z (fractional)
Li: 0.000 0.000 0.000
Mg: 0.671 0.671 0.000
Cd: 0.354 0.354 0.000

Results
Its crystal system is tetragonal. The formation energy is -0.48 eV per formula unit. Its space group is No. 107. For the energy relative to the lowest polymorph listed for this composition, the calculation gives 0.025 eV per atom. The density comes out at 4.1 g/cm³.

# 10
DFT (GGA-PBE) results for a geometry-optimized Dy4SnTe2S structure.

Cell: 7.326 4.246 7.501 Å, 90.00 109.19 90.00°
Element x y z (fractional)
Dy: 0.227 0.000 0.217
Dy: 0.245 0.500 0.771
Dy: 0.755 0.500 0.229
Dy: 0.773 0.000 0.783
Sn: 0.500 0.000 0.000
Te: 0.000 0.000 0.500
Te: 0.500 0.500 0.500
S: 0.000 0.500 0.000

Results
Its crystal system is monoclinic. The formation energy (no corrections) comes out at -1.327 eV per atom. Its space group is No. 10. The density comes out at 8.0 g/cm³.

# 11
DFT (GGA-PBE) results for a geometry-optimized Er4Ir2Pd structure.

Cell: 8.298 8.298 8.298 Å, 33.68 33.68 33.68°
Element x y z (fractional)
Er: 0.123 0.123 0.123
Er: 0.373 0.373 0.373
Er: 0.627 0.627 0.627
Er: 0.877 0.877 0.877
Ir: 0.250 0.250 0.250
Ir: 0.750 0.750 0.750
Pd: 0.500 0.500 0.500

Results
Its crystal system is trigonal. The formation energy is -6.27 eV per formula unit. Its space group is No. 166. For the energy relative to the lowest polymorph listed for this composition, the calculation gives 0.000 eV per atom. The density comes out at 12.3 g/cm³.

# 12
DFT (GGA-PBE) results for a geometry-optimized CdReO2F structure.

Cell: 3.834 3.834 4.734 Å, 90.00 90.00 90.00°
Element x y z (fractional)
Cd: 0.000 0.000 0.000
Re: 0.500 0.500 0.500
O: 0.000 0.500 0.500
O: 0.500 0.000 0.500
F: 0.500 0.500 0.000

Results
Its crystal system is tetragonal. The formation energy (no corrections) comes out at -1.012 eV per atom. Its space group is No. 123. The density comes out at 8.3 g/cm³.

# 13
DFT (GGA-PBE) results for a geometry-optimized TlFeBr2 structure.

Cell: 3.585 3.585 9.063 Å, 90.00 90.00 90.00°
Element x y z (fractional)
Tl: 0.000 0.000 0.000
Fe: 0.500 0.500 0.501
Br: 0.000 0.000 0.596
Br: 0.500 0.500 0.237

Results
Its crystal system is tetragonal. The formation energy (no corrections) comes out at -0.124 eV per atom. Its space group is No. 99. For the energy relative to the lowest polymorph listed for this composition, the calculation gives 0.141 eV per atom. The density comes out at 6.0 g/cm³.

# 14
DFT (GGA-PBE) results for a geometry-optimized La2SmVN4 structure.

Cell: 6.182 6.182 12.676 Å, 90.00 90.00 147.52°
Element x y z (fractional)
La: 0.134 0.866 0.542
La: 0.134 0.866 0.958
La: 0.866 0.134 0.042
La: 0.866 0.134 0.458
Sm: 0.410 0.590 0.750
Sm: 0.590 0.410 0.250
V: 0.322 0.678 0.250
V: 0.678 0.322 0.750
N: 0.082 0.918 0.750
N: 0.224 0.776 0.142
N: 0.224 0.776 0.358
N: 0.500 0.500 0.000
N: 0.500 0.500 0.500
N: 0.776 0.224 0.642
N: 0.776 0.224 0.858
N: 0.918 0.082 0.250

Results
Its crystal system is orthorhombic. The formation energy (no corrections) comes out at -1.122 eV per atom. Its space group is No. 63. The density comes out at 6.8 g/cm³.

# 15
DFT (GGA-PBE) results for a geometry-optimized YHoAu2 structure.

Cell: 3.704 4.700 5.803 Å, 90.00 108.47 90.00°
Element x y z (fractional)
Y: 0.000 0.000 0.000
Ho: 0.724 0.500 0.444
Au: 0.273 0.000 0.544
Au: 0.449 0.500 0.897

Results
Its crystal system is monoclinic. The formation energy is -3.55 eV per formula unit. Its space group is No. 6. For the energy relative to the lowest polymorph listed for this composition, the calculation gives 0.000 eV per atom. The density comes out at 11.2 g/cm³.

# 16
DFT (GGA-PBE) results for a geometry-optimized Ag3PtF structure.

Cell: 4.494 4.494 4.494 Å, 90.00 90.00 90.00°
Element x y z (fractional)
Ag: 0.000 0.000 0.500
Ag: 0.000 0.500 0.000
Ag: 0.500 0.000 0.000
Pt: 0.500 0.500 0.500
F: 0.000 0.000 0.000

Results
Its crystal system is cubic. The formation energy (no corrections) comes out at 0.136 eV per atom. Its space group is No. 221. For the energy relative to the lowest polymorph listed for this composition, the calculation gives 0.000 eV per atom. The density comes out at 9.8 g/cm³.

# 17
DFT (GGA-PBE) results for a geometry-optimized La2Pr3Sn2 structure.

Cell: 5.919 6.018 6.636 Å, 104.02 99.93 96.63°
Element x y z (fractional)
La: 0.163 0.268 0.060
La: 0.837 0.732 0.940
Pr: 0.000 0.000 0.500
Pr: 0.313 0.624 0.655
Pr: 0.687 0.376 0.345
Sn: 0.409 0.820 0.215
Sn: 0.591 0.180 0.785

Results
Its crystal system is triclinic. The formation energy is -2.98 eV per formula unit. Its space group is No. 2. For the energy relative to the lowest polymorph listed for this composition, the calculation gives 0.000 eV per atom. The density comes out at 7.0 g/cm³.

# 18
DFT (GGA-PBE) results for a geometry-optimized PrNdDy2Y5 structure.

Cell: 9.857 9.857 9.857 Å, 126.54 126.54 79.00°
Element x y z (fractional)
Pr: 0.250 0.250 0.000
Pr: 0.750 0.750 0.000
Nd: 0.250 0.750 0.500
Nd: 0.750 0.250 0.500
Dy: 0.115 0.615 0.730
Dy: 0.385 0.115 0.500
Dy: 0.615 0.885 0.500
Dy: 0.885 0.385 0.270
Y: 0.000 0.000 0.000
Y: 0.071 0.164 0.500
Y: 0.164 0.664 0.093
Y: 0.336 0.429 0.500
Y: 0.429 0.929 0.093
Y: 0.500 0.500 0.000
Y: 0.571 0.071 0.907
Y: 0.664 0.571 0.500
Y: 0.836 0.336 0.907
Y: 0.929 0.836 0.500

Results
Its crystal system is tetragonal. The formation energy is 2.33 eV per formula unit. Its space group is No. 140. The density comes out at 5.9 g/cm³.

# 19
DFT (GGA-PBE) results for a geometry-optimized HgSe2Cl2 structure.

Cell: 11.089 11.089 11.089 Å, 161.18 161.18 26.74°
Element x y z (fractional)
Hg: 0.000 0.000 0.000
Se: 0.250 0.750 0.500
Se: 0.750 0.250 0.500
Cl: 0.427 0.427 0.000
Cl: 0.573 0.573 0.000

Results
Its crystal system is tetragonal. The formation energy (no corrections) comes out at -0.039 eV per atom. Its space group is No. 139. For the energy relative to the lowest polymorph listed for this composition, the calculation gives 0.000 eV per atom. The density comes out at 5.0 g/cm³.

# 20
DFT (GGA-PBE) results for a geometry-optimized Pm4AuI5 structure.

Cell: 10.018 10.018 9.198 Å, 102.17 102.17 24.55°
Element x y z (fractional)
Pm: 0.001 0.001 0.219
Pm: 0.348 0.348 0.924
Pm: 0.652 0.652 0.076
Pm: 0.999 0.999 0.781
Au: 0.500 0.500 0.000
I: 0.168 0.168 0.340
I: 0.173 0.173 0.824
I: 0.500 0.500 0.500
I: 0.827 0.827 0.176
I: 0.832 0.832 0.660

Results
Its crystal system is monoclinic. The formation energy (no corrections) comes out at -1.148 eV per atom. Its space group is No. 12. The density comes out at 6.3 g/cm³.

# 21
DFT (GGA-PBE) results for a geometry-optimized YHfOsS2 structure.

Cell: 4.918 4.918 6.101 Å, 90.00 90.00 90.00°
Element x y z (fractional)
Y: 0.000 0.000 0.000
Hf: 0.000 0.000 0.500
Os: 0.500 0.500 0.500
S: 0.000 0.500 0.000
S: 0.500 0.000 0.000

Results
Its crystal system is tetragonal. The formation energy (no corrections) comes out at 1.324 eV per atom. Its space group is No. 123. The density comes out at 5.9 g/cm³.

# 22
DFT (GGA-PBE) results for a geometry-optimized PrGe3Rh2 structure.

Cell: 8.495 8.495 9.943 Å, 103.01 103.01 28.28°
Element x y z (fractional)
Pr: 0.000 0.000 0.000
Pr: 0.152 0.152 0.698
Pr: 0.848 0.848 0.302
Ge: 0.052 0.052 0.362
Ge: 0.225 0.225 0.366
Ge: 0.356 0.356 0.077
Ge: 0.360 0.360 0.821
Ge: 0.500 0.500 0.500
Ge: 0.640 0.640 0.179
Ge: 0.644 0.644 0.923
Ge: 0.775 0.775 0.634
Ge: 0.948 0.948 0.638
Rh: 0.207 0.207 0.080
Rh: 0.351 0.351 0.564
Rh: 0.495 0.495 0.236
Rh: 0.505 0.505 0.764
Rh: 0.649 0.649 0.436
Rh: 0.793 0.793 0.920

Results
Its crystal system is monoclinic. The formation energy is -4.09 eV per formula unit. Its space group is No. 12. The density comes out at 8.5 g/cm³.

# 23
DFT (GGA-PBE) results for a geometry-optimized TcTeRu2 structure.

Cell: 5.268 5.268 5.268 Å, 145.54 129.36 62.70°
Element x y z (fractional)
Tc: 0.000 0.000 0.000
Te: 0.500 0.500 0.000
Ru: 0.270 0.770 0.500
Ru: 0.730 0.230 0.500

Results
Its crystal system is orthorhombic. The formation energy (no corrections) comes out at 0.400 eV per atom. Its space group is No. 71. The density comes out at 11.2 g/cm³.

| no. | density of states at the Fermi level (states/eV/atom) | M_tot (μB/f.u.) |
| --- | --- | --- |
| 1 | 0.00 | 0.000 |
| 2 | 0.70 | 0.000 |
| 3 | 0.59 | 3.975 |
| 4 | 0.72 | 0.000 |
| 5 | 0.83 | 0.000 |
| 6 | 0.07 | 0.000 |
| 7 | 0.47 | 2.177 |
| 8 | 1.36 | 0.000 |
| 9 | 0.35 | 0.000 |
| 10 | 0.43 | 0.000 |
| 11 | 0.33 | 0.000 |
| 12 | 0.47 | 0.000 |
| 13 | 1.25 | 3.267 |
| 14 | 0.48 | 0.002 |
| 15 | 0.63 | 0.000 |
| 16 | 0.24 | 0.000 |
| 17 | 0.98 | 0.000 |
| 18 | 1.26 | 0.000 |
| 19 | 0.27 | 0.000 |
| 20 | 0.46 | 0.000 |
| 21 | 1.18 | 2.484 |
| 22 | 0.35 | 0.000 |
| 23 | 0.91 | 0.000 |